No. 1
## Nd2NpGa (PBE)

Data for a geometry-optimized Nd2NpGa structure.

Total magnetization ... 5.0 μB per formula unit
E_form ... 0.3277 eV per atom
Electronic total energy ... -6.048 eV per atom
Density of states at the Fermi level ... 9.47 states/eV per cell

```
data_Nd2NpGa
_chemical_formula_sum 'Nd2 Np1 Ga1'
_cell_length_a 3.4442
_cell_length_b 3.4442
_cell_length_c 11.6619
_cell_angle_alpha 81.51
_cell_angle_beta 81.51
_cell_angle_gamma 60.00
_space_group_name_H-M_alt 'P 1'
_space_group_IT_number 1
loop_
_space_group_symop_operation_xyz
'x,y,z'
loop_
_atom_site_label
_atom_site_type_symbol
_atom_site_fract_x
_atom_site_fract_y
_atom_site_fract_z
Nd1 Nd 0.0984 0.0984 0.7049
Ga1 Ga 0.5000 0.5000 0.5000
Nd2 Nd 0.9016 0.9016 0.2951
Np1 Np 0.0000 0.0000 0.0000
```

=====

No. 2
## Nd4Ga2O9 (PBE)

Data for a geometry-optimized Nd4Ga2O9 structure.

Total magnetization ... 0.0 μB per formula unit
Raw formation energy ... -4210 kJ/mol of formula units
Electronic total energy ... -7.559 eV per atom
Density of states at the Fermi level ... 0.00 states/eV per cell

```
data_Nd4Ga2O9
_chemical_formula_sum 'Nd16 Ga8 O36'
_cell_length_a 11.0797
_cell_length_b 7.8223
_cell_length_c 11.6472
_cell_angle_alpha 71.01
_cell_angle_beta 90.00
_cell_angle_gamma 90.00
_space_group_name_H-M_alt 'P 1'
_space_group_IT_number 1
loop_
_space_group_symop_operation_xyz
'x,y,z'
loop_
_atom_site_label
_atom_site_type_symbol
_atom_site_fract_x
_atom_site_fract_y
_atom_site_fract_z
Nd1 Nd 0.1057 0.5210 0.2181
O1 O 0.2716 0.2336 0.7319
Nd2 Nd 0.4093 0.0227 0.6951
Ga1 Ga 0.1826 0.6550 0.8859
O2 O 0.0050 0.9226 0.3955
O3 O 0.0280 0.7035 0.8230
O4 O 0.4720 0.7035 0.3230
Ga2 Ga 0.1853 0.2156 0.8736
O5 O 0.4950 0.9226 0.8955
Nd3 Nd 0.8789 0.1652 0.4112
Nd4 Nd 0.8943 0.4790 0.7819
O6 O 0.7494 0.5687 0.6120
O7 O 0.5050 0.0774 0.1045
O8 O 0.2672 0.0713 0.5249
O9 O 0.4895 0.5677 0.1028
O10 O 0.2328 0.0713 0.0249
Nd5 Nd 0.1211 0.8348 0.5888
O11 O 0.2278 0.6388 0.0406
O12 O 0.2262 0.7849 0.2517
O13 O 0.2284 0.2336 0.2319
Nd6 Nd 0.8774 0.6652 0.4304
O14 O 0.2722 0.6388 0.5406
Nd7 Nd 0.0907 0.0227 0.1951
Nd8 Nd 0.3789 0.8348 0.0888
O15 O 0.7328 0.9287 0.4751
O16 O 0.2738 0.7849 0.7517
Ga3 Ga 0.6826 0.3450 0.6141
Nd9 Nd 0.5907 0.9773 0.3049
O17 O 0.9720 0.2965 0.1770
Nd10 Nd 0.1226 0.3348 0.5696
Ga4 Ga 0.6853 0.7844 0.6264
Nd11 Nd 0.9093 0.9773 0.8049
O18 O 0.9950 0.0774 0.6045
O19 O 0.7278 0.3612 0.4594
Ga5 Ga 0.8174 0.3450 0.1141
Nd12 Nd 0.6057 0.4790 0.2819
Ga6 Ga 0.3174 0.6550 0.3859
O20 O 0.4748 0.2191 0.3326
O21 O 0.5252 0.7809 0.6674
Ga7 Ga 0.8147 0.7844 0.1264
O22 O 0.7506 0.5687 0.1120
O23 O 0.2506 0.4313 0.3880
O24 O 0.9895 0.4323 0.3972
O25 O 0.7262 0.2151 0.2483
O26 O 0.5280 0.2965 0.6770
O27 O 0.9748 0.7809 0.1674
O28 O 0.0105 0.5677 0.6028
Nd13 Nd 0.6226 0.6652 0.9304
O29 O 0.0252 0.2191 0.8326
Nd14 Nd 0.3943 0.5210 0.7181
O30 O 0.5105 0.4323 0.8972
O31 O 0.7722 0.3612 0.9594
Nd15 Nd 0.3774 0.3348 0.0696
O32 O 0.7672 0.9287 0.9751
Nd16 Nd 0.6211 0.1652 0.9112
O33 O 0.2494 0.4313 0.8880
O34 O 0.7738 0.2151 0.7483
O35 O 0.7716 0.7664 0.7681
O36 O 0.7284 0.7664 0.2681
Ga8 Ga 0.3147 0.2156 0.3736
```

=====

No. 3
## NdGaO (PBE)

Data for a geometry-optimized NdGaO structure.

Total magnetization ... 0.0 μB per formula unit
Raw formation energy ... -541 kJ/mol of formula units
Electronic total energy ... -6.120 eV per atom
Density of states at the Fermi level ... 2.22 states/eV per cell

```
data_NdGaO
_chemical_formula_sum 'Nd2 Ga2 O2'
_cell_length_a 3.4315
_cell_length_b 3.4315
_cell_length_c 9.2180
_cell_angle_alpha 90.00
_cell_angle_beta 90.00
_cell_angle_gamma 90.00
_space_group_name_H-M_alt 'P 1'
_space_group_IT_number 1
loop_
_space_group_symop_operation_xyz
'x,y,z'
loop_
_atom_site_label
_atom_site_type_symbol
_atom_site_fract_x
_atom_site_fract_y
_atom_site_fract_z
Nd1 Nd 0.0000 0.5000 0.1620
Nd2 Nd 0.5000 0.0000 0.8380
Ga1 Ga 0.5000 0.0000 0.4305
Ga2 Ga 0.0000 0.5000 0.5695
O1 O 0.0000 0.5000 0.9008
O2 O 0.5000 0.0000 0.0992
```

=====

No. 4
## NdGa2O4 (PBE)

Data for a geometry-optimized NdGa2O4 structure.

Total magnetization ... 0.0 μB per formula unit
Energy relative to the lowest polymorph listed for this composition ... 0.203 eV per atom
Raw formation energy ... -1368 kJ/mol of formula units
Electronic total energy ... -6.404 eV per atom
Density of states at the Fermi level ... 3.76 states/eV per cell

```
data_NdGa2O4
_chemical_formula_sum 'Nd2 Ga4 O8'
_cell_length_a 7.4289
_cell_length_b 6.5888
_cell_length_c 6.5888
_cell_angle_alpha 53.67
_cell_angle_beta 55.68
_cell_angle_gamma 55.68
_space_group_name_H-M_alt 'P 1'
_space_group_IT_number 1
loop_
_space_group_symop_operation_xyz
'x,y,z'
loop_
_atom_site_label
_atom_site_type_symbol
_atom_site_fract_x
_atom_site_fract_y
_atom_site_fract_z
O1 O 0.3229 0.2475 0.7475
Ga1 Ga 0.1233 0.1267 0.6267
Ga2 Ga 0.5000 0.5000 0.5000
Ga3 Ga 0.5000 0.0000 0.0000
O2 O 0.6822 0.2475 0.7475
O3 O 0.6771 0.7525 0.2525
Nd1 Nd 0.0000 0.5000 0.0000
O4 O 0.7465 0.2525 0.2545
Nd2 Nd 0.5000 0.5000 0.0000
O5 O 0.7465 0.7545 0.7525
O6 O 0.2535 0.7475 0.7455
O7 O 0.3178 0.7525 0.2525
Ga4 Ga 0.8767 0.8733 0.3733
O8 O 0.2535 0.2455 0.2475
```

=====

No. 5
## NdGa2O4 (PBE)

Data for a geometry-optimized NdGa2O4 structure.

Total magnetization ... 0.0 μB per formula unit
Energy relative to the lowest polymorph listed for this composition ... 0.000 eV per atom
Raw formation energy ... -1505 kJ/mol of formula units
Electronic total energy ... -6.607 eV per atom
Density of states at the Fermi level ... 0.00 states/eV per cell

```
data_NdGa2O4
_chemical_formula_sum 'Nd2 Ga4 O8'
_cell_length_a 6.4180
_cell_length_b 6.8769
_cell_length_c 5.5623
_cell_angle_alpha 73.93
_cell_angle_beta 58.26
_cell_angle_gamma 71.57
_space_group_name_H-M_alt 'P 1'
_space_group_IT_number 1
loop_
_space_group_symop_operation_xyz
'x,y,z'
loop_
_atom_site_label
_atom_site_type_symbol
_atom_site_fract_x
_atom_site_fract_y
_atom_site_fract_z
Ga1 Ga 0.4911 0.1696 0.1942
O1 O 0.7701 0.0898 0.7932
O2 O 0.4059 0.9194 0.4132
O3 O 0.4989 0.7393 0.9071
Nd1 Nd 0.8742 0.4088 0.4007
Ga2 Ga 0.3730 0.7049 0.3036
O4 O 0.0224 0.7582 0.3722
O5 O 0.7467 0.2280 0.2187
O6 O 0.2590 0.2602 0.0322
O7 O 0.1795 0.2954 0.5536
O8 O 0.9676 0.6569 0.9468
Ga3 Ga 0.7968 0.8271 0.7355
Ga4 Ga 0.2558 0.4542 0.7162
Nd2 Nd 0.1090 0.9883 0.9127
```

=====

No. 6
## Nd6Ga2O (PBE)

Data for a geometry-optimized Nd6Ga2O structure.

Total magnetization ... 0.0 μB per formula unit
Raw formation energy ... -721 kJ/mol of formula units
Electronic total energy ... -5.232 eV per atom
Density of states at the Fermi level ... 19.64 states/eV per cell

```
data_Nd6Ga2O
_chemical_formula_sum 'Nd12 Ga4 O2'
_cell_length_a 6.5133
_cell_length_b 8.2197
_cell_length_c 9.3006
_cell_angle_alpha 90.00
_cell_angle_beta 94.28
_cell_angle_gamma 90.00
_space_group_name_H-M_alt 'P 1'
_space_group_IT_number 1
loop_
_space_group_symop_operation_xyz
'x,y,z'
loop_
_atom_site_label
_atom_site_type_symbol
_atom_site_fract_x
_atom_site_fract_y
_atom_site_fract_z
Nd1 Nd 0.3815 0.5387 0.7353
Nd2 Nd 0.6690 0.1487 0.5525
Nd3 Nd 0.8704 0.7148 0.5591
Nd4 Nd 0.1690 0.3513 0.0525
Nd5 Nd 0.8815 0.9613 0.2353
Nd6 Nd 0.1185 0.0387 0.7647
Ga1 Ga 0.0650 0.6135 0.2653
Ga2 Ga 0.5650 0.8865 0.7653
O1 O 0.0000 0.0000 0.5000
Nd7 Nd 0.1296 0.2852 0.4409
O2 O 0.5000 0.5000 0.0000
Nd8 Nd 0.3310 0.8513 0.4475
Nd9 Nd 0.3704 0.7852 0.0591
Nd10 Nd 0.6185 0.4613 0.2647
Ga3 Ga 0.4350 0.1135 0.2347
Ga4 Ga 0.9350 0.3865 0.7347
Nd11 Nd 0.6296 0.2148 0.9409
Nd12 Nd 0.8310 0.6487 0.9475
```